[1]
This record from Alexandria via LeMat-Bulk describes a geometry-optimized Ti3Pt2Au structure. The functional is PBE.

The spin magnetization is 1.51 μB per formula unit. The value obtained for the density is 12.6 g/cm³. Its total energy is -43.32 eV/cell.

The structure belongs to space group P4/mmm (No. 123); the cell edges are 2.851, 2.851 and 11.850 Å and the angles 90.00°, 90.00° and 90.00°. The asymmetric unit holds Ti at (0.000, 0.000, 0.000), Ti at (0.000, 0.000, 0.324), Pt at (0.500, 0.500, 0.164) and Au at (0.500, 0.500, 0.500).

---

[2]
This record from Alexandria via LeMat-Bulk describes a geometry-optimized Ti5Pt4Au structure. The functional is PBE.

The spin magnetization is 2.64 μB per formula unit. The value obtained for the density is 12.7 g/cm³. Its total energy is -74.78 eV/cell.

The structure belongs to space group P4/mmm (No. 123); the cell edges are 2.841, 2.841 and 19.664 Å and the angles 90.00°, 90.00° and 90.00°. The asymmetric unit holds Ti at (0.000, 0.000, 0.000), Ti at (0.000, 0.000, 0.197), Ti at (0.000, 0.000, 0.393), Pt at (0.500, 0.500, 0.098), Pt at (0.500, 0.500, 0.296) and Au at (0.500, 0.500, 0.500).

---

[3]
This record from Alexandria via LeMat-Bulk describes a geometry-optimized TmTiPtAu structure. The functional is PBE.

The spin magnetization is 0.90 μB per formula unit. The value obtained for the density is 13.2 g/cm³. Its total energy is -98.31 eV/cell.

The structure belongs to space group F-43m (No. 216); the cell edges are 6.741, 6.741 and 6.741 Å and the angles 90.00°, 90.00° and 90.00°. The asymmetric unit holds Tm at (0.000, 0.000, 0.000), Ti at (0.000, 0.000, 0.500), Pt at (0.250, 0.250, 0.750) and Au at (0.250, 0.250, 0.250).

---

[4]
This record from Alexandria via LeMat-Bulk describes a geometry-optimized Tl2PtAu structure. The functional is PBE.

The spin magnetization is 0.00 μB per formula unit. The value obtained for the density is 15.5 g/cm³. Its total energy is -53.79 eV/cell.

The structure belongs to space group Fm-3m (No. 225); the cell edges are 6.996, 6.996 and 6.996 Å and the angles 90.00°, 90.00° and 90.00°. The asymmetric unit holds Tl at (0.250, 0.250, 0.250), Pt at (0.000, 0.000, 0.000) and Au at (0.000, 0.000, 0.500).

---

[5]
This record from Alexandria via LeMat-Bulk describes a geometry-optimized Tl2PtAu structure. The functional is PBE.

The spin magnetization is 0.00 μB per formula unit. The value obtained for the density is 14.9 g/cm³. Its total energy is -13.58 eV/cell.

The structure belongs to space group P2/m (No. 10); the cell edges are 3.735, 3.007 and 8.082 Å and the angles 90.00°, 100.75° and 90.00°. The asymmetric unit holds Tl at (0.040, 0.000, 0.226), Pt at (0.500, 0.500, 0.000) and Au at (0.500, 0.500, 0.500).

---

[6]
This record from Alexandria via LeMat-Bulk describes a geometry-optimized Tl5Pt4Au structure. The functional is PBE.

The spin magnetization is 0.00 μB per formula unit. The value obtained for the density is 13.6 g/cm³. Its total energy is -79.01 eV/cell.

The structure belongs to space group C2/m (No. 12); the cell edges are 18.503, 4.065 and 6.925 Å and the angles 90.00°, 110.58° and 90.00°. The asymmetric unit holds Tl at (0.000, 0.000, 0.000), Tl at (0.133, 0.500, 0.475), Tl at (0.195, 0.500, 0.101), Pt at (0.044, 0.500, 0.799), Pt at (0.148, 0.000, 0.778) and Au at (0.000, 0.000, 0.500).

---

[7]
This record from Alexandria via LeMat-Bulk describes a geometry-optimized Tl8Pt2Au structure. The functional is PBE.

The spin magnetization is 0.00 μB per formula unit. The value obtained for the density is 12.6 g/cm³. Its total energy is -68.83 eV/cell.

The structure belongs to space group Cm (No. 8); the cell edges are 8.860, 12.658 and 5.485 Å and the angles 90.00°, 107.61° and 90.00°. The asymmetric unit holds Tl at (0.000, 0.000, 0.000), Tl at (0.075, 0.376, 0.756), Tl at (0.176, 0.124, 0.592), Tl at (0.251, 0.500, 0.349), Tl at (0.375, 0.236, 0.174), Pt at (0.376, 0.314, 0.675) and Au at (0.376, 0.000, 0.174).

---

[8]
This record from Alexandria via LeMat-Bulk describes a geometry-optimized Tl2PtAu structure. The functional is PBE.

The spin magnetization is 0.00 μB per formula unit. The value obtained for the density is 15.4 g/cm³. Its total energy is -27.07 eV/cell.

The structure belongs to space group Cmmm (No. 65); the cell edges are 4.784, 5.388 and 6.705 Å and the angles 90.00°, 90.00° and 90.00°. The asymmetric unit holds Tl at (0.000, 0.000, 0.239), Pt at (0.000, 0.500, 0.000) and Au at (0.000, 0.500, 0.500).

---

[9]
This record from Alexandria via LeMat-Bulk describes a geometry-optimized Tl2PtAu2 structure. The functional is PBE.

The spin magnetization is 0.00 μB per formula unit. The value obtained for the density is 14.6 g/cm³. Its total energy is -32.04 eV/cell.

The structure belongs to space group P4/mbm (No. 127); the cell edges are 7.505, 7.505 and 4.023 Å and the angles 90.00°, 90.00° and 90.00°. The asymmetric unit holds Tl at (0.173, 0.327, 0.000), Pt at (0.000, 0.000, 0.000) and Au at (0.131, 0.631, 0.500).

---

[10]
This record from Alexandria via LeMat-Bulk describes a geometry-optimized Tl2PtAu structure. The functional is PBE.

The spin magnetization is 0.00 μB per formula unit. The value obtained for the density is 10.2 g/cm³. Its total energy is -52.38 eV/cell.

The structure belongs to space group I-42d (No. 122); the cell edges are 6.577, 6.577 and 12.091 Å and the angles 90.00°, 90.00° and 90.00°. The asymmetric unit holds Tl at (0.230, 0.250, 0.125), Pt at (0.000, 0.000, 0.000) and Au at (0.000, 0.000, 0.500).

---

[11]
This record from Alexandria via LeMat-Bulk describes a geometry-optimized Tl2PtAu structure. The functional is PBE.

The spin magnetization is 0.00 μB per formula unit. The value obtained for the density is 14.7 g/cm³. Its total energy is -14.09 eV/cell.

The structure belongs to space group Pm (No. 6); the cell edges are 3.928, 4.164 and 5.801 Å and the angles 90.00°, 107.64° and 90.00°. The asymmetric unit holds Tl at (0.000, 0.000, 0.000), Tl at (0.310, 0.500, 0.604), Pt at (0.762, 0.000, 0.483) and Au at (0.567, 0.500, 0.147).

---

[12]
This record from Alexandria via LeMat-Bulk describes a geometry-optimized TlPt3Au structure. The functional is PBE.

The spin magnetization is 0.00 μB per formula unit. The value obtained for the density is 12.9 g/cm³. Its total energy is -16.63 eV/cell.

The structure belongs to space group Pm-3m (No. 221); the cell edges are 5.024, 5.024 and 5.024 Å and the angles 90.00°, 90.00° and 90.00°. The asymmetric unit holds Tl at (0.000, 0.000, 0.000), Pt at (0.000, 0.000, 0.500) and Au at (0.500, 0.500, 0.500).